A relaxed structure of DyHfTh, computed with PBE.

abc: 3.3616 3.3616 7.9215
angles: 102.25 102.25 90.00
Atoms (fractional coordinates):
Hf (0.6679, 0.6679, 0.3358)
Th (0.0093, 0.0093, 0.0186)
Dy (0.3228, 0.3228, 0.6456)

Properties
- relative energy among the computed polymorphs (meV per atom) = 0.0
- energy of formation (kJ per mole of atoms) = 12
- Fermi-level density of states (states/eV/cell) = 3.76

A relaxed structure of DyHfTh2, computed with PBE.

abc: 3.4676 3.4676 11.4218
angles: 81.27 81.27 60.00
Atoms (fractional coordinates):
Th (0.2536, 0.2536, 0.2391)
Th (0.0800, 0.0800, 0.7601)
Hf (0.6681, 0.6681, 0.9956)
Dy (0.4983, 0.4983, 0.5052)

Properties
- relative energy among the computed polymorphs (meV per atom) = 32.1
- energy of formation (kJ per mole of atoms) = 14
- Fermi-level density of states (states/eV/cell) = 6.42

A relaxed structure of DyHfTh, computed with PBE.

abc: 3.4161 5.3872 5.3872
angles: 120.00 90.00 90.00
Atoms (fractional coordinates):
Dy (0.1658, 0.0000, 0.0000)
Th (0.6666, 0.6667, 0.3333)
Hf (0.1676, 0.3333, 0.6667)

Properties
- relative energy among the computed polymorphs (meV per atom) = 38.1
- energy of formation (kJ per mole of atoms) = 16
- Fermi-level density of states (states/eV/cell) = 3.53

A relaxed structure of DyHfTh2, computed with PBE.

abc: 4.8379 4.9270 4.9270
angles: 90.00 90.00 90.00
Atoms (fractional coordinates):
Hf (0.5000, 0.0000, 0.0000)
Th (0.0000, 0.5000, 0.0000)
Th (0.0000, 0.0000, 0.5000)
Dy (0.5000, 0.5000, 0.5000)

Properties
- relative energy among the computed polymorphs (meV per atom) = 27.4
- energy of formation (kJ per mole of atoms) = 13
- Fermi-level density of states (states/eV/cell) = 5.52

Look up the Fermi-level density of states of the second one. 6.42 states/eV/cell